# 1
Computed, not measured: a relaxed Fe2C crystal at the PBE level of DFT.

Results
**SG**: Fm-3m (225)
**Density**: 7.4 g/cm³
**Crystal system**: cubic
**ΔE_f**: 0.307 eV per atom
**Raw total energy**: -100.91 eV for the cell shown

Cell: 4.8070 4.8070 4.8070 Å, 90.00 90.00 90.00°
Atoms (fractional coordinates):
Fe 0.2500 0.2500 0.2500
Fe 0.2500 0.2500 0.7500
Fe 0.2500 0.7500 0.2500
Fe 0.2500 0.7500 0.7500
Fe 0.7500 0.2500 0.2500
Fe 0.7500 0.2500 0.7500
Fe 0.7500 0.7500 0.2500
Fe 0.7500 0.7500 0.7500
C 0.0000 0.0000 0.0000
C 0.0000 0.5000 0.5000
C 0.5000 0.0000 0.5000
C 0.5000 0.5000 0.0000

# 2
Computed, not measured: a relaxed FeC crystal at the PBE level of DFT.

Results
**SG**: P4/mmm (123)
**Density**: 5.8 g/cm³
**Crystal system**: tetragonal
**ΔE_f**: 0.899 eV per atom
**Raw total energy**: -47.67 eV for the cell shown

Cell: 3.8954 3.8954 3.8226 Å, 90.00 90.00 90.00°
Atoms (fractional coordinates):
Fe 0.0000 0.0000 0.0000
Fe 0.0000 0.5000 0.5000
Fe 0.5000 0.0000 0.5000
C 0.0000 0.0000 0.5000
C 0.0000 0.5000 0.0000
C 0.5000 0.0000 0.0000

# 3
Computed, not measured: a relaxed Fe2C crystal at the PBE level of DFT.

Results
**SG**: Cmcm (63)
**Density**: 7.1 g/cm³
**Crystal system**: orthorhombic
**ΔE_f**: 0.225 eV per atom
**Raw total energy**: -101.90 eV for the cell shown

Cell: 2.8263 10.3447 3.9769 Å, 90.00 90.00 90.00°
Atoms (fractional coordinates):
Fe 0.0000 0.0589 0.2500
Fe 0.0000 0.3065 0.2500
Fe 0.0000 0.6935 0.7500
Fe 0.0000 0.9411 0.7500
Fe 0.5000 0.1935 0.7500
Fe 0.5000 0.4411 0.7500
Fe 0.5000 0.5589 0.2500
Fe 0.5000 0.8065 0.2500
C 0.0000 0.3265 0.7500
C 0.0000 0.6735 0.2500
C 0.5000 0.1735 0.2500
C 0.5000 0.8265 0.7500

# 4
Computed, not measured: a relaxed Fe3C2 crystal at the PBE level of DFT.

Results
**SG**: Fdd2 (43)
**Density**: 7.2 g/cm³
**Crystal system**: orthorhombic
**ΔE_f**: 0.201 eV per atom
**Raw total energy**: -85.66 eV for the cell shown

Cell: 5.8384 4.9197 7.2317 Å, 53.41 42.58 84.01°
Atoms (fractional coordinates):
Fe 0.0000 0.0000 0.0000
Fe 0.2500 0.2500 0.2500
Fe 0.3293 0.6471 0.3313
Fe 0.5577 0.9187 0.6029
Fe 0.6471 0.3293 0.6923
Fe 0.9187 0.5577 0.9207
C 0.1564 0.3257 0.0087
C 0.2413 0.7408 0.0936
C 0.3257 0.1564 0.5092
C 0.7408 0.2413 0.9243

# 5
Computed, not measured: a relaxed FeC2 crystal at the PBE level of DFT.

Results
**SG**: P4/mmm (123)
**Density**: 6.3 g/cm³
**Crystal system**: tetragonal
**ΔE_f**: 1.450 eV per atom
**Raw total energy**: -22.56 eV for the cell shown

Cell: 2.5208 2.5208 3.2991 Å, 90.00 90.00 90.00°
Atoms (fractional coordinates):
Fe 0.0000 0.0000 0.0000
C 0.0000 0.5000 0.5000
C 0.5000 0.0000 0.5000

# 6
Computed, not measured: a relaxed FeC crystal at the PBE level of DFT.

Results
**SG**: P-62m (189)
**Density**: 6.6 g/cm³
**Crystal system**: hexagonal
**ΔE_f**: 0.390 eV per atom
**Raw total energy**: -50.72 eV for the cell shown

Cell: 4.7611 4.7611 2.5980 Å, 90.00 90.00 120.00°
Atoms (fractional coordinates):
Fe 0.0000 0.3850 0.0000
Fe 0.3850 0.0000 0.0000
Fe 0.6150 0.6150 0.0000
C 0.0000 0.0000 0.0000
C 0.3333 0.6667 0.5000
C 0.6667 0.3333 0.5000